Crystalline SrTaZn2 at its relaxed geometry. Source: Alexandria via LeMat-Bulk, functional PBE.

DFT total energy	-14.4	eV per formula unit
total moment	0.000	μB per cell
SG	Cm
DOS(E_F)	0.719	states/eV/atom

abc: 5.6588 5.6588 5.4435
angles: 72.56 72.56 29.93
Last column: nearest neighbours and their distance in Å.
Element x y z (fractional)
1 Zn 0.2789 0.2789 0.2492  4 Zn 2.76-2.92, 2 Ta 2.92
2 Zn 0.9872 0.9872 0.9576  4 Zn 2.76-2.92, 2 Ta 2.83, 2 Sr 3.02
3 Sr 0.5138 0.5138 0.4571  2 Sr 2.92, 7 Zn 3.02-3.18
4 Ta 0.7202 0.7202 0.8361  4 Zn 2.83-2.92, 2 Ta 2.92